i:
The following is a DFT calculation (GGA-PBEsol) of SiAsAu2 after structural relaxation.

Calculated values
Total magnetization (Bohr magnetons per cell): 0.00

a = 2.704 Å, b = 3.929 Å, c = 6.811 Å
α = 90.00°, β = 90.00°, γ = 90.00°
Fractional positions:
1 Si 0.000 0.000 0.000
2 As 0.000 0.000 0.500
3 Au 0.000 0.500 0.235
4 Au 0.000 0.500 0.765

---

ii:
The following is a DFT calculation (GGA-PBEsol) of SiAsAu2 after structural relaxation.

Calculated values
Total magnetization (Bohr magnetons per cell): 0.00

a = 7.648 Å, b = 7.648 Å, c = 7.648 Å
α = 24.90°, β = 24.90°, γ = 24.90°
Fractional positions:
1 Si 0.000 0.000 0.000
2 As 0.500 0.500 0.500
3 Au 0.257 0.257 0.257
4 Au 0.743 0.743 0.743

---

Unit: kJ/mol of atoms. Relative energies: i 3.3; ii 0.0.

---

i:
The following is a DFT calculation (GGA-PBEsol) of TcAs2Au after structural relaxation.

Calculated values
Total magnetization (Bohr magnetons per cell): 0.00

a = 8.234 Å, b = 8.234 Å, c = 8.234 Å
α = 21.53°, β = 21.53°, γ = 21.53°
Fractional positions:
1 Tc 0.000 0.000 0.000
2 As 0.259 0.259 0.259
3 As 0.741 0.741 0.741
4 Au 0.500 0.500 0.500

---

ii:
The following is a DFT calculation (GGA-PBEsol) of TcAs2Au after structural relaxation.

Calculated values
Total magnetization (Bohr magnetons per cell): 0.00

a = 3.256 Å, b = 4.117 Å, c = 4.890 Å
α = 90.00°, β = 90.00°, γ = 90.00°
Fractional positions:
1 Tc 0.000 0.000 0.000
2 As 0.000 0.500 0.500
3 As 0.500 0.500 0.000
4 Au 0.500 0.000 0.500

---

iii:
The following is a DFT calculation (GGA-PBEsol) of TcAs2Au after structural relaxation.

Calculated values
Total magnetization (Bohr magnetons per cell): 0.00

a = 4.431 Å, b = 4.431 Å, c = 3.228 Å
α = 90.00°, β = 90.00°, γ = 90.00°
Fractional positions:
1 Tc 0.000 0.000 0.000
2 As 0.000 0.500 0.500
3 As 0.500 0.000 0.500
4 Au 0.500 0.500 0.000

---

Unit: kJ/mol of atoms. Relative energies: i 0.0; ii 44.6; iii 27.2.

---

i:
The following is a DFT calculation (GGA-PBEsol) of Te2As2Au after structural relaxation.

Calculated values
Total magnetization (Bohr magnetons per cell): 0.00

a = 7.697 Å, b = 7.697 Å, c = 3.981 Å
α = 90.00°, β = 90.00°, γ = 90.00°
Fractional positions:
1 Te 0.148 0.352 0.000
2 Te 0.352 0.852 0.000
3 Te 0.648 0.148 0.000
4 Te 0.852 0.648 0.000
5 As 0.185 0.685 0.500
6 As 0.315 0.185 0.500
7 As 0.685 0.815 0.500
8 As 0.815 0.315 0.500
9 Au 0.000 0.000 0.500
10 Au 0.500 0.500 0.500

---

ii:
The following is a DFT calculation (GGA-PBEsol) of Te2As2Au after structural relaxation.

Calculated values
Total magnetization (Bohr magnetons per cell): 0.00

a = 7.897 Å, b = 7.897 Å, c = 3.802 Å
α = 90.00°, β = 90.00°, γ = 90.00°
Fractional positions:
1 Te 0.199 0.301 0.000
2 Te 0.301 0.801 0.000
3 Te 0.699 0.199 0.000
4 Te 0.801 0.699 0.000
5 As 0.127 0.627 0.500
6 As 0.373 0.127 0.500
7 As 0.627 0.873 0.500
8 As 0.873 0.373 0.500
9 Au 0.000 0.000 0.000
10 Au 0.500 0.500 0.000

---

Unit: kJ/mol of atoms. Relative energies: i 0.0; ii 5.0.

---

i:
The following is a DFT calculation (GGA-PBEsol) of Tl2AsAu after structural relaxation.

Calculated values
Total magnetization (Bohr magnetons per cell): 0.00

a = 6.825 Å, b = 6.825 Å, c = 6.825 Å
α = 37.24°, β = 37.24°, γ = 37.24°
Fractional positions:
1 Tl 0.000 0.000 0.000
2 Tl 0.212 0.212 0.212
3 As 0.767 0.767 0.767
4 Au 0.450 0.450 0.450

---

ii:
The following is a DFT calculation (GGA-PBEsol) of Tl2AsAu after structural relaxation.

Calculated values
Total magnetization (Bohr magnetons per cell): 0.00

a = 5.293 Å, b = 5.293 Å, c = 5.293 Å
α = 127.57°, β = 127.57°, γ = 77.33°
Fractional positions:
1 Tl 0.250 0.750 0.500
2 Tl 0.750 0.250 0.500
3 As 0.000 0.000 0.000
4 Au 0.500 0.500 0.000

---

Unit: kJ/mol of atoms. Relative energies: i 0.0; ii 22.7.

---

i:
The following is a DFT calculation (GGA-PBEsol) of TlAs2Au after structural relaxation.

Calculated values
Total magnetization (Bohr magnetons per cell): 0.00

a = 4.544 Å, b = 3.988 Å, c = 5.318 Å
α = 90.00°, β = 105.69°, γ = 90.00°
Fractional positions:
1 Tl 0.000 0.000 0.000
2 As 0.249 0.500 0.663
3 As 0.751 0.500 0.337
4 Au 0.500 0.000 0.500

---

ii:
The following is a DFT calculation (GGA-PBEsol) of TlAs2Au after structural relaxation.

Calculated values
Total magnetization (Bohr magnetons per cell): 0.00

a = 3.551 Å, b = 3.551 Å, c = 6.992 Å
α = 90.00°, β = 90.00°, γ = 90.00°
Fractional positions:
1 Tl 0.000 0.000 0.000
2 As 0.500 0.500 0.324
3 As 0.500 0.500 0.676
4 Au 0.000 0.000 0.500

---

Unit: kJ/mol of atoms. Relative energies: i 0.0; ii 20.5.

---

i:
The following is a DFT calculation (GGA-PBEsol) of FeBAsBr2 after structural relaxation.

Calculated values
Total magnetization (Bohr magnetons per cell): 1.50

a = 4.939 Å, b = 4.939 Å, c = 4.401 Å
α = 90.00°, β = 90.00°, γ = 90.00°
Fractional positions:
1 Fe 0.000 0.000 0.000
2 B 0.500 0.500 0.500
3 As 0.000 0.000 0.500
4 Br 0.000 0.500 0.000
5 Br 0.500 0.000 0.000

---

ii:
The following is a DFT calculation (GGA-PBEsol) of FeBAsBr2 after structural relaxation.

Calculated values
Total magnetization (Bohr magnetons per cell): 3.72

a = 4.565 Å, b = 4.565 Å, c = 4.401 Å
α = 90.00°, β = 90.00°, γ = 90.00°
Fractional positions:
1 Fe 0.000 0.000 0.000
2 B 0.500 0.500 0.500
3 As 0.500 0.500 0.000
4 Br 0.000 0.500 0.500
5 Br 0.500 0.000 0.500

---

Unit: kJ/mol of atoms. Relative energies: i 6.4; ii 0.0.

---

i:
The following is a DFT calculation (GGA-PBEsol) of BAs2PBr after structural relaxation.

Calculated values
Total magnetization (Bohr magnetons per cell): 0.00

a = 4.713 Å, b = 4.713 Å, c = 5.014 Å
α = 90.00°, β = 90.00°, γ = 90.00°
Fractional positions:
1 B 0.000 0.000 0.000
2 As 0.000 0.500 0.500
3 As 0.500 0.000 0.500
4 P 0.500 0.500 0.500
5 Br 0.500 0.500 0.000

---

ii:
The following is a DFT calculation (GGA-PBEsol) of BAs2PBr after structural relaxation.

Calculated values
Total magnetization (Bohr magnetons per cell): 0.00

a = 4.457 Å, b = 4.457 Å, c = 4.303 Å
α = 90.00°, β = 90.00°, γ = 90.00°
Fractional positions:
1 B 0.000 0.000 0.000
2 As 0.000 0.500 0.000
3 As 0.500 0.000 0.000
4 P 0.500 0.500 0.500
5 Br 0.000 0.000 0.500

---

Unit: kJ/mol of atoms. Relative energies: i 49.5; ii 0.0.

---

i:
The following is a DFT calculation (GGA-PBEsol) of CdBAs2 after structural relaxation.

Calculated values
Total magnetization (Bohr magnetons per cell): 0.00

a = 6.282 Å, b = 6.282 Å, c = 6.282 Å
α = 126.97°, β = 126.97°, γ = 78.30°
Fractional positions:
1 Cd 0.000 0.000 0.000
2 Cd 0.750 0.250 0.500
3 B 0.250 0.750 0.500
4 B 0.500 0.500 0.000
5 As 0.203 0.625 0.078
6 As 0.375 0.453 0.578
7 As 0.547 0.125 0.922
8 As 0.875 0.797 0.422

---

ii:
The following is a DFT calculation (GGA-PBEsol) of CdBAs2 after structural relaxation.

Calculated values
Total magnetization (Bohr magnetons per cell): 0.00

a = 4.570 Å, b = 4.570 Å, c = 4.570 Å
α = 60.00°, β = 60.00°, γ = 60.00°
Fractional positions:
1 Cd 0.000 0.000 0.000
2 B 0.500 0.500 0.500
3 As 0.250 0.250 0.250
4 As 0.750 0.750 0.750

---

Unit: kJ/mol of atoms. Relative energies: i 0.0; ii 84.8.

---

i:
The following is a DFT calculation (GGA-PBEsol) of HgB3As after structural relaxation.

Calculated values
Total magnetization (Bohr magnetons per cell): 0.00

a = 4.157 Å, b = 4.157 Å, c = 4.157 Å
α = 90.00°, β = 90.00°, γ = 90.00°
Fractional positions:
1 Hg 0.000 0.000 0.000
2 B 0.000 0.500 0.500
3 B 0.500 0.000 0.500
4 B 0.500 0.500 0.000
5 As 0.500 0.500 0.500

---

ii:
The following is a DFT calculation (GGA-PBEsol) of HgB3As after structural relaxation.

Calculated values
Total magnetization (Bohr magnetons per cell): 0.00

a = 4.298 Å, b = 4.298 Å, c = 4.298 Å
α = 90.00°, β = 90.00°, γ = 90.00°
Fractional positions:
1 Hg 0.000 0.000 0.000
2 B 0.000 0.000 0.500
3 B 0.000 0.500 0.000
4 B 0.500 0.000 0.000
5 As 0.500 0.500 0.500

---

Unit: kJ/mol of atoms. Relative energies: i 0.0; ii 44.3.

---

i:
The following is a DFT calculation (GGA-PBEsol) of BAsN2 after structural relaxation.

Calculated values
Total magnetization (Bohr magnetons per cell): 0.00

a = 5.300 Å, b = 5.300 Å, c = 5.300 Å
α = 36.18°, β = 36.18°, γ = 36.18°
Fractional positions:
1 B 0.000 0.000 0.000
2 As 0.500 0.500 0.500
3 N 0.091 0.091 0.091
4 N 0.909 0.909 0.909

---

ii:
The following is a DFT calculation (GGA-PBEsol) of BAsN2 after structural relaxation.

Calculated values
Total magnetization (Bohr magnetons per cell): 0.00

a = 4.776 Å, b = 4.776 Å, c = 4.776 Å
α = 122.87°, β = 122.87°, γ = 85.09°
Fractional positions:
1 B 0.000 0.000 0.000
2 B 0.750 0.250 0.500
3 As 0.250 0.750 0.500
4 As 0.500 0.500 0.000
5 N 0.012 0.125 0.387
6 N 0.375 0.988 0.113
7 N 0.738 0.625 0.613
8 N 0.875 0.262 0.887

---

Unit: kJ/mol of atoms. Relative energies: i 3.0; ii 0.0.

---

i:
The following is a DFT calculation (GGA-PBEsol) of NaBAsSe2 after structural relaxation.

Calculated values
Total magnetization (Bohr magnetons per cell): 0.00

a = 5.019 Å, b = 5.019 Å, c = 4.869 Å
α = 90.00°, β = 90.00°, γ = 90.00°
Fractional positions:
1 Na 0.000 0.000 0.000
2 B 0.500 0.500 0.500
3 As 0.000 0.000 0.500
4 Se 0.000 0.500 0.000
5 Se 0.500 0.000 0.000

---

ii:
The following is a DFT calculation (GGA-PBEsol) of NaBAsSe2 after structural relaxation.

Calculated values
Total magnetization (Bohr magnetons per cell): 0.00

a = 4.823 Å, b = 4.823 Å, c = 4.050 Å
α = 90.00°, β = 90.00°, γ = 90.00°
Fractional positions:
1 Na 0.000 0.000 0.000
2 B 0.500 0.500 0.500
3 As 0.500 0.500 0.000
4 Se 0.000 0.500 0.500
5 Se 0.500 0.000 0.500

---

Unit: kJ/mol of atoms. Relative energies: i 138.1; ii 0.0.

---

i:
The following is a DFT calculation (GGA-PBEsol) of B2AsP after structural relaxation.

Calculated values
Total magnetization (Bohr magnetons per cell): 0.00

a = 3.285 Å, b = 3.285 Å, c = 4.652 Å
α = 90.00°, β = 90.00°, γ = 90.00°
Fractional positions:
1 B 0.000 0.500 0.237
2 B 0.500 0.000 0.763
3 As 0.500 0.500 0.500
4 P 0.000 0.000 0.000

---

ii:
The following is a DFT calculation (GGA-PBEsol) of B2AsP after structural relaxation.

Calculated values
Total magnetization (Bohr magnetons per cell): 0.00

a = 5.688 Å, b = 5.688 Å, c = 5.688 Å
α = 131.76°, β = 131.76°, γ = 70.62°
Fractional positions:
1 B 0.106 0.625 0.981
2 B 0.375 0.356 0.481
3 B 0.644 0.125 0.019
4 B 0.875 0.894 0.519
5 As 0.250 0.750 0.500
6 As 0.500 0.500 0.000
7 P 0.000 0.000 0.000
8 P 0.750 0.250 0.500

---

Unit: kJ/mol of atoms. Relative energies: i 1.2; ii 0.0.

---

i:
The following is a DFT calculation (GGA-PBEsol) of BAsSe2 after structural relaxation.

Calculated values
Total magnetization (Bohr magnetons per cell): 0.00

a = 4.554 Å, b = 4.554 Å, c = 4.554 Å
α = 60.00°, β = 60.00°, γ = 60.00°
Fractional positions:
1 B 0.000 0.000 0.000
2 As 0.500 0.500 0.500
3 Se 0.250 0.250 0.250
4 Se 0.750 0.750 0.750

---

ii:
The following is a DFT calculation (GGA-PBEsol) of BAsSe2 after structural relaxation.

Calculated values
Total magnetization (Bohr magnetons per cell): 0.00

a = 8.070 Å, b = 8.070 Å, c = 8.070 Å
α = 23.01°, β = 23.01°, γ = 23.01°
Fractional positions:
1 B 0.000 0.000 0.000
2 As 0.500 0.500 0.500
3 Se 0.388 0.388 0.388
4 Se 0.612 0.612 0.612

---

Unit: kJ/mol of atoms. Relative energies: i 58.4; ii 0.0.

---

i:
The following is a DFT calculation (GGA-PBEsol) of Ba3As after structural relaxation.

Calculated values
Total magnetization (Bohr magnetons per cell): 0.95

a = 11.907 Å, b = 11.907 Å, c = 11.907 Å
α = 22.38°, β = 22.38°, γ = 22.38°
Fractional positions:
1 Ba 0.000 0.000 0.000
2 Ba 0.217 0.217 0.217
3 Ba 0.783 0.783 0.783
4 As 0.500 0.500 0.500

---

ii:
The following is a DFT calculation (GGA-PBEsol) of Ba3As after structural relaxation.

Calculated values
Total magnetization (Bohr magnetons per cell): 0.00

a = 4.681 Å, b = 5.141 Å, c = 7.296 Å
α = 90.00°, β = 90.00°, γ = 90.00°
Fractional positions:
1 Ba 0.000 0.000 0.000
2 Ba 0.000 0.500 0.494
3 Ba 0.500 0.500 0.899
4 As 0.500 0.000 0.656

---

Unit: kJ/mol of atoms. Relative energies: i 0.0; ii 17.6.